No. 1
Material: LaTcSb
Method: DFT, PBEsol
State: optimized geometry

Lattice parameters (Å, degrees): 6.8174 6.8174 6.8174 90.00 90.00 90.00
Last column: nearest neighbours and their distance in Å.
Positions (direct):
La1 0.0000 0.0000 0.0000  4 Sb 2.95
La2 0.0000 0.5000 0.5000  4 Sb 2.95
La3 0.5000 0.0000 0.5000  4 Sb 2.95
La4 0.5000 0.5000 0.0000  4 Sb 2.95
Tc1 0.0000 0.0000 0.5000  4 Sb 2.95
Tc2 0.0000 0.5000 0.0000  4 Sb 2.95
Tc3 0.5000 0.0000 0.0000  4 Sb 2.95
Tc4 0.5000 0.5000 0.5000  4 Sb 2.95
Sb1 0.2500 0.2500 0.2500  4 La 2.95, 4 Tc 2.95
Sb2 0.2500 0.7500 0.7500  4 La 2.95, 4 Tc 2.95
Sb3 0.7500 0.2500 0.7500  4 La 2.95, 4 Tc 2.95
Sb4 0.7500 0.7500 0.2500  4 La 2.95, 4 Tc 2.95

The value obtained for the density is 7.52 g cm⁻³. The calculated total energy is -6.752 eV per atom. The calculation puts the raw formation energy at 0.305 eV/atom. As for the symmetry: No. 216. Its total magnetic moment is 5.87 μB per cell.

No. 2
Material: LaSbTe2
Method: DFT, PBEsol
State: optimized geometry

Lattice parameters (Å, degrees): 4.5163 4.5163 11.0897 90.00 90.00 90.00
Last column: nearest neighbours and their distance in Å.
Positions (direct):
La1 0.0000 0.0000 0.0000  8 Te 3.19-3.58, 4 Sb 3.58
La2 0.5000 0.5000 0.5000  8 Te 3.19-3.58, 4 Sb 3.58
Sb1 0.0000 0.5000 0.2500  8 Te 3.19-3.58, 4 La 3.58
Sb2 0.5000 0.0000 0.7500  8 Te 3.19-3.58, 4 La 3.58
Te1 0.0000 0.0000 0.5000  4 La 3.19, 4 Sb 3.58, 4 Te 3.58
Te2 0.0000 0.5000 0.7500  4 Sb 3.19, 4 La 3.58, 4 Te 3.58
Te3 0.5000 0.0000 0.2500  4 Sb 3.19, 4 La 3.58, 4 Te 3.58
Te4 0.5000 0.5000 0.0000  4 La 3.19, 4 Sb 3.58, 4 Te 3.58

The value obtained for the density is 7.57 g cm⁻³. The calculated total energy is -5.098 eV per atom. The calculation puts the raw formation energy at -0.859 eV/atom. As for the symmetry: No. 119. Its total magnetic moment is 0.00 μB per cell.

No. 3
Material: La4SbTe7
Method: DFT, PBEsol
State: optimized geometry

Lattice parameters (Å, degrees): 4.4529 4.4529 18.4267 90.00 90.00 90.00
Last column: nearest neighbours and their distance in Å.
Positions (direct):
La1 0.0000 0.5000 0.1367  9 Te 3.26-3.36
La2 0.0000 0.5000 0.6381  7 Te 3.26-3.38, 2 Sb 3.38
La3 0.5000 0.0000 0.3619  7 Te 3.26-3.38, 2 Sb 3.38
La4 0.5000 0.0000 0.8633  9 Te 3.26-3.36
Sb1 0.0000 0.0000 0.5000  4 Te 3.15, 4 La 3.38
Te1 0.0000 0.0000 0.0000  4 Te 3.15, 4 La 3.36
Te2 0.0000 0.5000 0.3151  5 La 3.26-3.29
Te3 0.0000 0.5000 0.8178  5 La 3.26-3.31
Te4 0.5000 0.0000 0.1822  5 La 3.26-3.31
Te5 0.5000 0.0000 0.6849  5 La 3.26-3.29
Te6 0.5000 0.5000 0.0000  4 Te 3.15, 4 La 3.36
Te7 0.5000 0.5000 0.5000  4 Sb 3.15, 4 La 3.38

The value obtained for the density is 7.14 g cm⁻³. The calculated total energy is -5.609 eV per atom. The calculation puts the raw formation energy at -1.390 eV/atom. As for the symmetry: No. 115. Its total magnetic moment is 0.00 μB per cell.

No. 4
Material: LaSbTe2
Method: DFT, PBEsol
State: optimized geometry

Lattice parameters (Å, degrees): 4.3372 4.5820 6.4855 90.00 109.17 90.00
Last column: nearest neighbours and their distance in Å.
Positions (direct):
La1 0.0000 0.0000 0.0000  7 Te 3.23-3.59, 2 Sb 3.27
Sb1 0.1765 0.5000 0.3802  5 Te 3.06-3.18, 2 La 3.27
Te1 0.4440 0.5000 0.8800  1 Sb 3.06, 4 La 3.23-3.25
Te2 0.6985 0.0000 0.4142  4 Sb 3.15-3.18, 2 La 3.32-3.35

The value obtained for the density is 7.04 g cm⁻³. The calculated total energy is -5.147 eV per atom. The calculation puts the raw formation energy at -0.908 eV/atom. As for the symmetry: No. 6. Its total magnetic moment is 0.00 μB per cell.

No. 5
Material: LaSbTe2
Method: DFT, PBEsol
State: optimized geometry

Lattice parameters (Å, degrees): 4.2892 4.2892 29.3017 90.00 90.00 120.00
Last column: nearest neighbours and their distance in Å.
Positions (direct):
La1 0.0000 0.0000 0.0000  6 Te 3.15
La2 0.3333 0.6667 0.6667  6 Te 3.15
La3 0.6667 0.3333 0.3333  6 Te 3.15
Sb1 0.0000 0.0000 0.5000  2 Te 2.94
Sb2 0.3333 0.6667 0.1667  2 Te 2.94
Sb3 0.6667 0.3333 0.8333  2 Te 2.94
Te1 0.0000 0.0000 0.3998  1 Sb 2.94, 3 La 3.15
Te2 0.0000 0.0000 0.6002  1 Sb 2.94, 3 La 3.15
Te3 0.3333 0.6667 0.0665  1 Sb 2.94, 3 La 3.15
Te4 0.3333 0.6667 0.2668  1 Sb 2.94, 3 La 3.15
Te5 0.6667 0.3333 0.7332  1 Sb 2.94, 3 La 3.15
Te6 0.6667 0.3333 0.9335  1 Sb 2.94, 3 La 3.15

The value obtained for the density is 5.50 g cm⁻³. The calculated total energy is -4.785 eV per atom. The calculation puts the raw formation energy at -0.546 eV/atom. As for the symmetry: No. 166. Its total magnetic moment is 0.00 μB per cell.

No. 6
Material: LaSbTe2
Method: DFT, PBEsol
State: optimized geometry

Lattice parameters (Å, degrees): 4.6356 4.6356 10.4219 90.00 90.00 90.00
Last column: nearest neighbours and their distance in Å.
Positions (direct):
La1 0.0000 0.0000 0.0000  4 Sb 3.28, 8 Te 3.49
La2 0.5000 0.5000 0.5000  4 Sb 3.28, 8 Te 3.49
Sb1 0.0000 0.0000 0.5000  4 La 3.28, 8 Te 3.49
Sb2 0.5000 0.5000 0.0000  4 La 3.28, 8 Te 3.49
Te1 0.0000 0.5000 0.2500  4 Te 3.28, 4 La 3.49, 4 Sb 3.49
Te2 0.0000 0.5000 0.7500  4 Te 3.28, 4 La 3.49, 4 Sb 3.49
Te3 0.5000 0.0000 0.2500  4 Te 3.28, 4 La 3.49, 4 Sb 3.49
Te4 0.5000 0.0000 0.7500  4 Te 3.28, 4 La 3.49, 4 Sb 3.49

The value obtained for the density is 7.65 g cm⁻³. The calculated total energy is -4.957 eV per atom. The calculation puts the raw formation energy at -0.718 eV/atom. As for the symmetry: No. 139. Its total magnetic moment is 0.00 μB per cell.

No. 7
Material: LaSbTe2
Method: DFT, PBEsol
State: optimized geometry

Lattice parameters (Å, degrees): 4.8459 4.8459 20.9422 90.00 90.00 120.00
Last column: nearest neighbours and their distance in Å.
Positions (direct):
La1 0.0000 0.0000 0.0000  3 Te 3.17, 3 Sb 3.45
La2 0.3333 0.6667 0.6667  3 Te 3.17, 3 Sb 3.45
La3 0.6667 0.3333 0.3333  3 Te 3.17, 3 Sb 3.45
Sb1 0.0000 0.0000 0.7629  3 Te 2.88
Sb2 0.3333 0.6667 0.4296  3 Te 2.88
Sb3 0.6667 0.3333 0.0963  3 Te 2.88
Te1 0.0000 0.0000 0.2622  3 La 3.17
Te2 0.0000 0.0000 0.4631  3 Sb 2.88
Te3 0.3333 0.6667 0.1298  3 Sb 2.88
Te4 0.3333 0.6667 0.9289  3 La 3.17
Te5 0.6667 0.3333 0.5956  3 La 3.17
Te6 0.6667 0.3333 0.7965  3 Sb 2.88

The value obtained for the density is 6.03 g cm⁻³. The calculated total energy is -4.808 eV per atom. The calculation puts the raw formation energy at -0.570 eV/atom. As for the symmetry: No. 160. Its total magnetic moment is 0.00 μB per cell.

No. 8
Material: LaYSb2Te
Method: DFT, PBEsol
State: optimized geometry

Lattice parameters (Å, degrees): 5.7867 5.7867 5.8854 90.00 90.00 90.00
Last column: nearest neighbours and their distance in Å.
Positions (direct):
La1 0.0000 0.0000 0.0000  4 Sb 2.89, 2 Te 2.94
Y1 0.5000 0.5000 0.5000  4 Te 4.09, 8 Sb 4.13
Sb1 0.0000 0.5000 0.0000  2 La 2.89
Sb2 0.5000 0.0000 0.0000  2 La 2.89
Te1 0.0000 0.0000 0.5000  2 La 2.94

The value obtained for the density is 5.05 g cm⁻³. The calculated total energy is -4.834 eV per atom. The calculation puts the raw formation energy at 0.128 eV/atom. As for the symmetry: No. 123. Its total magnetic moment is 0.00 μB per cell.

No. 9
Material: La2TiSb2
Method: DFT, PBEsol
State: optimized geometry

Lattice parameters (Å, degrees): 4.2008 4.2008 17.4997 90.00 90.00 90.00
Last column: nearest neighbours and their distance in Å.
Positions (direct):
La1 0.0000 0.0000 0.1033  4 Sb 3.32, 4 Ti 3.48, 1 La 3.62
La2 0.0000 0.0000 0.8967  4 Sb 3.32, 4 Ti 3.48, 1 La 3.62
La3 0.5000 0.5000 0.3967  4 Sb 3.32, 4 Ti 3.48, 1 La 3.62
La4 0.5000 0.5000 0.6033  4 Sb 3.32, 4 Ti 3.48, 1 La 3.62
Ti1 0.0000 0.0000 0.5000  8 La 3.48
Ti2 0.5000 0.5000 0.0000  8 La 3.48
Sb1 0.0000 0.5000 0.2500  4 Sb 2.97, 4 La 3.32
Sb2 0.0000 0.5000 0.7500  4 Sb 2.97, 4 La 3.32
Sb3 0.5000 0.0000 0.2500  4 Sb 2.97, 4 La 3.32
Sb4 0.5000 0.0000 0.7500  4 Sb 2.97, 4 La 3.32

The value obtained for the density is 6.12 g cm⁻³. The calculated total energy is -5.620 eV per atom. The calculation puts the raw formation energy at 0.006 eV/atom. As for the symmetry: No. 139. Its total magnetic moment is 7.57 μB per cell.

No. 10
Material: La3TiSb5
Method: DFT, PBEsol
State: optimized geometry

Lattice parameters (Å, degrees): 9.4283 9.4283 6.2191 90.00 90.00 120.00
Last column: nearest neighbours and their distance in Å.
Positions (direct):
La1 0.0000 0.3829 0.2500  9 Sb 3.18-3.45
La2 0.0000 0.6171 0.7500  9 Sb 3.18-3.45
La3 0.3829 0.0000 0.2500  9 Sb 3.18-3.45
La4 0.3829 0.3829 0.7500  9 Sb 3.18-3.45
La5 0.6171 0.0000 0.7500  9 Sb 3.18-3.45
La6 0.6171 0.6171 0.2500  9 Sb 3.18-3.45
Ti1 0.0000 0.0000 0.0000  6 Sb 2.83, 2 Ti 3.11
Ti2 0.0000 0.0000 0.5000  6 Sb 2.83, 2 Ti 3.11
Sb1 0.0000 0.2512 0.7500  2 Ti 2.83
Sb2 0.0000 0.7488 0.2500  2 Ti 2.83
Sb3 0.2512 0.0000 0.7500  2 Ti 2.83
Sb4 0.2512 0.2512 0.2500  2 Ti 2.83
Sb5 0.3333 0.6667 0.0000  2 Sb 3.11, 6 La 3.32
Sb6 0.3333 0.6667 0.5000  2 Sb 3.11, 6 La 3.32
Sb7 0.6667 0.3333 0.0000  2 Sb 3.11, 6 La 3.32
Sb8 0.6667 0.3333 0.5000  2 Sb 3.11, 6 La 3.32
Sb9 0.7488 0.0000 0.2500  2 Ti 2.83
Sb10 0.7488 0.7488 0.7500  2 Ti 2.83

The value obtained for the density is 7.45 g cm⁻³. The calculated total energy is -6.287 eV per atom. The calculation puts the raw formation energy at -1.048 eV/atom. As for the symmetry: No. 193. Its total magnetic moment is 0.00 μB per cell.

No. 11
Material: La2TlSb
Method: DFT, PBEsol
State: optimized geometry

Lattice parameters (Å, degrees): 4.4868 4.6642 11.8767 90.00 90.00 90.00
Last column: nearest neighbours and their distance in Å.
Positions (direct):
La1 0.0000 0.0000 0.0000  1 Tl 3.19, 4 Sb 3.28
La2 0.0000 0.5000 0.5000  1 Tl 3.19, 4 Sb 3.28
La3 0.5000 0.0000 0.2687  4 Tl 3.27, 3 Sb 3.28-3.53
La4 0.5000 0.5000 0.7687  4 Tl 3.27, 3 Sb 3.28-3.53
Tl1 0.0000 0.0000 0.7312  2 Sb 3.15, 5 La 3.19-3.27
Tl2 0.0000 0.5000 0.2312  2 Sb 3.15, 5 La 3.19-3.27
Sb1 0.5000 0.0000 0.5452  2 Tl 3.15, 5 La 3.28
Sb2 0.5000 0.5000 0.0452  2 Tl 3.15, 5 La 3.28

The value obtained for the density is 8.07 g cm⁻³. The calculated total energy is -5.256 eV per atom. The calculation puts the raw formation energy at -0.786 eV/atom. As for the symmetry: No. 38. Its total magnetic moment is 0.00 μB per cell. As for the excess energy over the best structure of this formula in the dataset: 10 meV/atom.

No. 12
Material: LaTl2Sb
Method: DFT, PBEsol
State: optimized geometry

Lattice parameters (Å, degrees): 4.2209 4.8169 11.1624 90.00 90.00 90.00
Last column: nearest neighbours and their distance in Å.
Positions (direct):
La1 0.0000 0.0000 0.0000  4 Sb 3.20
La2 0.5000 0.5000 0.5000  4 Sb 3.20
Tl1 0.0000 0.5000 0.2381  4 Tl 3.21, 2 Sb 3.39, 2 La 3.59
Tl2 0.0000 0.5000 0.7619  4 Tl 3.21, 2 Sb 3.39, 2 La 3.59
Tl3 0.5000 0.0000 0.2619  4 Tl 3.21, 2 Sb 3.39, 2 La 3.59
Tl4 0.5000 0.0000 0.7381  4 Tl 3.21, 2 Sb 3.39, 2 La 3.59
Sb1 0.0000 0.0000 0.5000  4 La 3.20, 4 Tl 3.39
Sb2 0.5000 0.5000 0.0000  4 La 3.20, 4 Tl 3.39

The value obtained for the density is 9.80 g cm⁻³. The calculated total energy is -4.290 eV per atom. The calculation puts the raw formation energy at -0.499 eV/atom. As for the symmetry: No. 71. Its total magnetic moment is 0.00 μB per cell. As for the excess energy over the best structure of this formula in the dataset: 24 meV/atom.

Q: Which of these has the highest raw formation energy?
A: LaTcSb

Q: Among the records above, which one has the lowest calculated total energy?
A: LaTcSb

Copy entry 11 word for word.
Material: La2TlSb
Method: DFT, PBEsol
State: optimized geometry

Lattice parameters (Å, degrees): 4.4868 4.6642 11.8767 90.00 90.00 90.00
Last column: nearest neighbours and their distance in Å.
Positions (direct):
La1 0.0000 0.0000 0.0000  1 Tl 3.19, 4 Sb 3.28
La2 0.0000 0.5000 0.5000  1 Tl 3.19, 4 Sb 3.28
La3 0.5000 0.0000 0.2687  4 Tl 3.27, 3 Sb 3.28-3.53
La4 0.5000 0.5000 0.7687  4 Tl 3.27, 3 Sb 3.28-3.53
Tl1 0.0000 0.0000 0.7312  2 Sb 3.15, 5 La 3.19-3.27
Tl2 0.0000 0.5000 0.2312  2 Sb 3.15, 5 La 3.19-3.27
Sb1 0.5000 0.0000 0.5452  2 Tl 3.15, 5 La 3.28
Sb2 0.5000 0.5000 0.0452  2 Tl 3.15, 5 La 3.28

The value obtained for the density is 8.07 g cm⁻³. The calculated total energy is -5.256 eV per atom. The calculation puts the raw formation energy at -0.786 eV/atom. As for the symmetry: No. 38. Its total magnetic moment is 0.00 μB per cell. As for the excess energy over the best structure of this formula in the dataset: 10 meV/atom.